Entry from Alexandria: a relaxed Tl2Sb2Br crystal (PBE-GGA).

```
data_Tl2Sb2Br
_symmetry_space_group_name_H-M 'P 1'
_symmetry_Int_Tables_number 1
_cell_length_a 5.760
_cell_length_b 5.760
_cell_length_c 6.436
_cell_angle_alpha 63.42
_cell_angle_beta 63.42
_cell_angle_gamma 90.00
loop_
_symmetry_equiv_pos_as_xyz
'x,y,z'
loop_
_atom_site_label
_atom_site_fract_x
_atom_site_fract_y
_atom_site_fract_z
_atom_site_occupancy
Sb1 0.359 0.359 0.281 1
Sb2 0.641 0.641 0.719 1
Tl1 0.750 0.250 0.500 1
Tl2 0.250 0.750 0.500 1
Br1 0.000 0.000 0.000 1
```

Calculated values
The distance to the lowest polymorph of the same formula is 0.828 eV/f.u. For the size of the total moment, the calculation gives 0.00 μB/cell. As for the space-group type: I4/mmm (139).


Entry from Alexandria: a relaxed TlSbBr4 crystal (PBE-GGA).

```
data_TlSbBr4
_symmetry_space_group_name_H-M 'P 1'
_symmetry_Int_Tables_number 1
_cell_length_a 6.485
_cell_length_b 6.485
_cell_length_c 6.485
_cell_angle_alpha 60.00
_cell_angle_beta 60.00
_cell_angle_gamma 60.00
loop_
_symmetry_equiv_pos_as_xyz
'x,y,z'
loop_
_atom_site_label
_atom_site_fract_x
_atom_site_fract_y
_atom_site_fract_z
_atom_site_occupancy
Tl1 0.000 0.000 0.000 1
Sb1 0.750 0.750 0.750 1
Br1 0.874 0.375 0.375 1
Br2 0.375 0.375 0.874 1
Br3 0.375 0.874 0.375 1
Br4 0.375 0.375 0.375 1
```

Calculated values
For the size of the total moment, the calculation gives 0.79 μB/cell. As for the space-group type: F-43m (216).


Entry from Alexandria: a relaxed Tl3SbBr6 crystal (PBE-GGA).

```
data_Tl3SbBr6
_symmetry_space_group_name_H-M 'P 1'
_symmetry_Int_Tables_number 1
_cell_length_a 7.757
_cell_length_b 8.582
_cell_length_c 11.400
_cell_angle_alpha 90.00
_cell_angle_beta 87.79
_cell_angle_gamma 90.00
loop_
_symmetry_equiv_pos_as_xyz
'x,y,z'
loop_
_atom_site_label
_atom_site_fract_x
_atom_site_fract_y
_atom_site_fract_z
_atom_site_occupancy
Tl1 0.535 0.918 0.758 1
Tl2 0.500 0.500 0.000 1
Tl3 0.465 0.082 0.242 1
Tl4 0.035 0.582 0.258 1
Tl5 0.000 0.000 0.500 1
Tl6 0.965 0.418 0.742 1
Sb1 0.500 0.500 0.500 1
Sb2 0.000 0.000 0.000 1
Br1 0.699 0.170 0.949 1
Br2 0.659 0.220 0.574 1
Br3 0.634 0.444 0.269 1
Br4 0.366 0.556 0.731 1
Br5 0.341 0.780 0.426 1
Br6 0.301 0.830 0.051 1
Br7 0.199 0.330 0.449 1
Br8 0.159 0.280 0.074 1
Br9 0.134 0.056 0.769 1
Br10 0.866 0.944 0.231 1
Br11 0.841 0.720 0.926 1
Br12 0.801 0.670 0.551 1
```

Calculated values
For the size of the total moment, the calculation gives 0.00 μB/cell. As for the space-group type: P2_1/c (14).


Entry from Alexandria: a relaxed TlSb2Br6 crystal (PBE-GGA).

```
data_TlSb2Br6
_symmetry_space_group_name_H-M 'P 1'
_symmetry_Int_Tables_number 1
_cell_length_a 11.781
_cell_length_b 9.553
_cell_length_c 9.553
_cell_angle_alpha 81.38
_cell_angle_beta 64.44
_cell_angle_gamma 64.44
loop_
_symmetry_equiv_pos_as_xyz
'x,y,z'
loop_
_atom_site_label
_atom_site_fract_x
_atom_site_fract_y
_atom_site_fract_z
_atom_site_occupancy
Tl1 0.250 0.065 0.935 1
Tl2 0.750 0.935 0.065 1
Sb1 0.279 0.592 0.674 1
Sb2 0.221 0.326 0.408 1
Sb3 0.721 0.408 0.326 1
Sb4 0.779 0.674 0.592 1
Br1 0.530 0.641 0.603 1
Br2 0.970 0.397 0.359 1
Br3 0.470 0.359 0.397 1
Br4 0.030 0.603 0.641 1
Br5 0.830 0.862 0.374 1
Br6 0.670 0.626 0.138 1
Br7 0.170 0.138 0.626 1
Br8 0.330 0.374 0.862 1
Br9 0.113 0.811 0.904 1
Br10 0.387 0.096 0.189 1
Br11 0.887 0.189 0.096 1
Br12 0.613 0.904 0.811 1
```

Calculated values
The distance to the lowest polymorph of the same formula is 0.000 eV/f.u. For the size of the total moment, the calculation gives 0.00 μB/cell. As for the space-group type: C2/c (15).


no.,calculated total energy (eV per cell),formation energy from raw total energies (meV per atom)
1,-15.2,-102
2,-11.0,371
3,-58.0,-773
4,-51.1,-545